Record 1
Entry from Alexandria via LeMat-Bulk: a geometry-optimized U2ReTc3 structure (PBE).

Lattice parameters (Å, degrees): 5.1997 10.0604 8.1716 90.00 90.00 90.00
Last column: nearest neighbours and their distance in Å.
Space group Cmcm (No. 63)
Asymmetric unit:
U 0.0000 0.1694 0.0849  1 U 2.70, 2 Tc 2.93
Re 0.0000 0.5000 0.0000  6 Tc 2.59-2.67
Tc 0.0000 0.3298 0.7500  2 Re 2.67, 4 Tc 2.76-2.90, 4 U 2.93
Tc 0.2398 0.0845 0.7500  3 Tc 2.49-2.76, 2 Re 2.59

* electronic total energy: -11.0444 eV per atom
* calculated formation energy: -0.6 kcal/mol of atoms

---

Record 2
Entry from Alexandria via LeMat-Bulk: a geometry-optimized U4Re2Tc structure (PBE).

Lattice parameters (Å, degrees): 18.9261 5.4383 5.0286 90.00 99.93 90.00
Last column: nearest neighbours and their distance in Å.
Space group C2/c (No. 15)
Asymmetric unit:
U 0.0718 0.1030 0.2905  4 U 2.68-2.99, 1 Re 2.89
U 0.1425 0.3902 0.8023  1 Re 2.64, 1 Tc 2.66, 2 U 2.78
Re 0.2245 0.0945 0.2907  2 U 2.64-2.89, 5 Re 2.72-2.94
Tc 0.0000 0.3990 0.7500  2 U 2.66, 2 Tc 2.74

* electronic total energy: -11.4523 eV per atom
* calculated formation energy: 0.8 kcal/mol of atoms

---

Record 3
Entry from Alexandria via LeMat-Bulk: a geometry-optimized U2Re3Tc structure (PBE).

Lattice parameters (Å, degrees): 5.1613 5.1613 9.4650 90.00 90.00 120.00
Last column: nearest neighbours and their distance in Å.
Space group P6_3/mmc (No. 194)
Asymmetric unit:
U 0.3333 0.6667 0.0551  3 Tc 3.03, 3 U 3.16, 9 Re 3.17-3.24
Re 0.1688 0.3376 0.7500  4 Re 2.55-2.61, 2 Tc 2.81
Tc 0.0000 0.0000 0.0000  6 Re 2.81, 6 U 3.03

* electronic total energy: -11.7116 eV per atom
* calculated formation energy: 0.1 kcal/mol of atoms

---

Record 4
Entry from Alexandria via LeMat-Bulk: a geometry-optimized U4ReTc structure (PBE).

Lattice parameters (Å, degrees): 4.8076 5.3987 8.3109 90.00 90.00 90.00
Last column: nearest neighbours and their distance in Å.
Space group Immm (No. 71)
Asymmetric unit:
U 0.0000 0.2497 0.1666  5 U 2.70-2.77
Re 0.0000 0.0000 0.5000  2 Tc 2.70
Tc 0.0000 0.5000 0.5000  2 Re 2.70

* electronic total energy: -11.3688 eV per atom
* calculated formation energy: -0.9 kcal/mol of atoms

---

Record 5
Entry from Alexandria via LeMat-Bulk: a geometry-optimized V5ReTc4 structure (PBE).

Lattice parameters (Å, degrees): 3.0306 3.0306 15.1370 90.00 90.00 90.00
Last column: nearest neighbours and their distance in Å.
Space group P4/mmm (No. 123)
Asymmetric unit:
V 0.0000 0.0000 0.0000  8 Tc 2.62
V 0.0000 0.0000 0.1997  8 Tc 2.62
V 0.0000 0.0000 0.3993  4 Tc 2.62, 4 Re 2.63
Re 0.5000 0.5000 0.5000  8 V 2.63
Tc 0.5000 0.5000 0.0998  8 V 2.62
Tc 0.5000 0.5000 0.2994  8 V 2.62

* electronic total energy: -10.3153 eV per atom
* calculated formation energy: -8.4 kcal/mol of atoms

---

Record 6
Entry from Alexandria via LeMat-Bulk: a geometry-optimized V4ReTc2 structure (PBE).

Lattice parameters (Å, degrees): 5.9762 5.9762 5.9867 90.00 90.00 90.00
Last column: nearest neighbours and their distance in Å.
Space group I4/mmm (No. 139)
Asymmetric unit:
V 0.2500 0.2500 0.2500  2 Re 2.59, 4 Tc 2.59
Re 0.0000 0.0000 0.0000  8 V 2.59
Tc 0.0000 0.5000 0.0000  8 V 2.59

* E above lowest polymorph: 0.000 eV/atom
* electronic total energy: -9.9247 eV per atom
* calculated formation energy: 0.6 kcal/mol of atoms

---

Copy entry 4 word for word.
Entry from Alexandria via LeMat-Bulk: a geometry-optimized U4ReTc structure (PBE).

Lattice parameters (Å, degrees): 4.8076 5.3987 8.3109 90.00 90.00 90.00
Last column: nearest neighbours and their distance in Å.
Space group Immm (No. 71)
Asymmetric unit:
U 0.0000 0.2497 0.1666  5 U 2.70-2.77
Re 0.0000 0.0000 0.5000  2 Tc 2.70
Tc 0.0000 0.5000 0.5000  2 Re 2.70

* electronic total energy: -11.3688 eV per atom
* calculated formation energy: -0.9 kcal/mol of atoms

---

What did the third record say?
Entry from Alexandria via LeMat-Bulk: a geometry-optimized U2Re3Tc structure (PBE).

Lattice parameters (Å, degrees): 5.1613 5.1613 9.4650 90.00 90.00 120.00
Last column: nearest neighbours and their distance in Å.
Space group P6_3/mmc (No. 194)
Asymmetric unit:
U 0.3333 0.6667 0.0551  3 Tc 3.03, 3 U 3.16, 9 Re 3.17-3.24
Re 0.1688 0.3376 0.7500  4 Re 2.55-2.61, 2 Tc 2.81
Tc 0.0000 0.0000 0.0000  6 Re 2.81, 6 U 3.03

* electronic total energy: -11.7116 eV per atom
* calculated formation energy: 0.1 kcal/mol of atoms

---

Repeat the second record exactly.
Entry from Alexandria via LeMat-Bulk: a geometry-optimized U4Re2Tc structure (PBE).

Lattice parameters (Å, degrees): 18.9261 5.4383 5.0286 90.00 99.93 90.00
Last column: nearest neighbours and their distance in Å.
Space group C2/c (No. 15)
Asymmetric unit:
U 0.0718 0.1030 0.2905  4 U 2.68-2.99, 1 Re 2.89
U 0.1425 0.3902 0.8023  1 Re 2.64, 1 Tc 2.66, 2 U 2.78
Re 0.2245 0.0945 0.2907  2 U 2.64-2.89, 5 Re 2.72-2.94
Tc 0.0000 0.3990 0.7500  2 U 2.66, 2 Tc 2.74

* electronic total energy: -11.4523 eV per atom
* calculated formation energy: 0.8 kcal/mol of atoms